Record 1
DFT (PBE) results for Tb3Zn2Au4 after structural relaxation.

The structure belongs to space group C2/m (No. 12); the cell edges are 10.576, 4.597 and 8.794 Å and the angles 90.00°, 116.22° and 90.00°. The asymmetric unit holds Tb at (0.000, 0.000, 0.000), Tb at (0.152, 0.500, 0.684), Zn at (0.143, 0.500, 0.314), Au at (0.076, 0.000, 0.398) and Au at (0.217, 0.500, 0.068).

The value obtained for the density of states at the Fermi level is 4.96 states/eV/f.u. Its total moment is 0.00 Bohr magnetons per cell. The value obtained for the energy of formation is -726 meV/atom.

---

Record 2
DFT (PBE) results for TbZn3Au3 after structural relaxation.

The structure belongs to space group Fm-3m (No. 225); the cell edges are 12.180, 12.180 and 12.180 Å and the angles 90.00°, 90.00° and 90.00°. The asymmetric unit holds Tb at (0.250, 0.250, 0.250), Zn at (0.000, 0.000, 0.146) and Au at (0.000, 0.000, 0.339).

The value obtained for the density of states at the Fermi level is 6.59 states/eV/f.u. The value obtained for the polymorph energy (0 for the lowest one) is 1033 meV per atom. Its total moment is 0.00 Bohr magnetons per cell. The value obtained for the energy of formation is 636 meV/atom.

---

Record 3
DFT (PBE) results for TbZnAu4 after structural relaxation.

The structure belongs to space group F-43m (No. 216); the cell edges are 7.848, 7.848 and 7.848 Å and the angles 90.00°, 90.00° and 90.00°. The asymmetric unit holds Tb at (0.000, 0.000, 0.000), Zn at (0.250, 0.250, 0.750) and Au at (0.125, 0.125, 0.375).

The value obtained for the density of states at the Fermi level is 5.16 states/eV/f.u. The value obtained for the polymorph energy (0 for the lowest one) is 87 meV per atom. Its total moment is 0.00 Bohr magnetons per cell. The value obtained for the energy of formation is -359 meV/atom.

---

Record 4
DFT (PBE) results for Tb3Zn8Au after structural relaxation.

The structure belongs to space group R3m (No. 160, hexagonal axes); the cell edges are 5.3821, 5.3821 and 26.5406 Å and the angles 90.00°, 90.00° and 120.00°. The asymmetric unit holds Tb at (0.0000, 0.0000, 0.0000), Tb at (0.0000, 0.0000, 0.1267), Tb at (0.0000, 0.0000, 0.5123), Zn at (0.0000, 0.0000, 0.3163), Zn at (0.0000, 0.0000, 0.8166), Zn at (0.0011, 0.5005, 0.5666), Zn at (0.0022, 0.5011, 0.0663) and Au at (0.0000, 0.0000, 0.6324).

The value obtained for the density of states at the Fermi level is 5.09 states/eV/f.u. Its total moment is 0.00 Bohr magnetons per cell. The value obtained for the energy of formation is -332 meV/atom.